Entry 1:
K2ZnAsF6 | Alexandria | PBE | optimized geometry; E = -4.19 eV per atom; V = 170 Å³/f.u.; total moment = 1.000 μB per formula unit
1.0
5.895 0.000 0.010
0.000 5.895 0.010
2.955 2.956 4.907
Zn F K As
1 6 2 1
direct
0.000 0.000 0.000
0.799 0.799 0.399
0.746 0.745 0.000
0.254 0.255 0.000
0.254 0.747 0.000
0.201 0.201 0.601
0.746 0.253 0.000
0.250 0.750 0.500
0.750 0.250 0.500
0.500 0.500 0.000

=====

Entry 2:
LaAsF2 | Alexandria | PBE | optimized geometry; distance to the lowest polymorph of the same formula = 432 meV/atom; E = -5.35 eV per atom; V = 69 Å³/f.u.; total moment = 2.000 μB per formula unit
1.0
4.014 2.261 -0.032
0.739 3.424 2.992
2.991 -0.567 3.458
F As La
2 1 1
direct
0.250 0.250 0.250
0.750 0.750 0.750
0.000 0.000 0.000
0.500 0.500 0.500

=====

Entry 3:
La2AsF | Alexandria | PBE | optimized geometry; distance to the lowest polymorph of the same formula = 252 meV/atom; E = -5.88 eV per atom; V = 92 Å³/f.u.; total moment = 0.000 μB per formula unit
1.0
0.000 3.579 3.579
3.579 0.000 3.579
3.579 3.579 0.000
La F As
2 1 1
direct
0.250 0.250 0.250
0.750 0.750 0.750
0.000 0.000 0.000
0.500 0.500 0.500

=====

Entry 4:
La3AsF | Alexandria | PBE | optimized geometry; distance to the lowest polymorph of the same formula = 0 meV/atom; E = -5.55 eV per atom; V = 125 Å³/f.u.; total moment = 0.000 μB per formula unit
1.0
4.995 0.000 0.000
0.000 4.995 0.000
0.000 0.000 4.995
As F La
1 1 3
direct
0.500 0.500 0.500
0.000 0.000 0.000
0.500 0.000 0.000
0.000 0.000 0.500
0.000 0.500 0.000